! ZrSc5 meta-GGA SCAN PBEsol geometry; values from VASP
! E_tot = -16.92 eV per atom
! calculated density = 3.80 Mg/m³
! formation energy from the elements = 0.059 eV/atom
! energy above the lowest structure with this stoichiometry = 53 meV per atom
&SYSTEM
  ibrav = 0, nat = 6, ntyp = 2
/
ATOMIC_SPECIES
Sc 44.96 Sc.upf
Zr 91.22 Zr.upf
ATOMIC_POSITIONS angstrom
Sc 0.446 2.057 0.634
Sc -2.542 2.367 1.717
Sc -0.103 3.899 3.292
Sc -1.027 4.977 0.430
Sc -1.033 -0.384 1.972
Zr -1.955 0.698 -0.888
CELL_PARAMETERS angstrom
-3.910 1.395 -1.776
-2.065 -0.767 3.944
3.330 5.638 2.840

! InCuGe2F meta-GGA SCAN PBEsol geometry; values from VASP
! E_tot = -18.08 eV per atom
! calculated density = 5.52 Mg/m³
! uncorrected formation energy = -0.02 eV per atom
&SYSTEM
  ibrav = 0, nat = 5, ntyp = 4
/
ATOMIC_SPECIES
Ge 72.64 Ge.upf
Cu 63.55 Cu.upf
F 19.00 F.upf
In 114.82 In.upf
ATOMIC_POSITIONS angstrom
Ge -0.683 -1.860 -1.069
Ge -1.972 0.103 1.081
Cu 0.000 0.000 0.000
F -1.702 -3.185 1.889
In 0.954 -1.428 1.876
CELL_PARAMETERS angstrom
-3.944 0.207 2.162
-1.367 -3.720 -2.137
1.907 -2.856 3.752

! KSi2Br meta-GGA SCAN PBEsol geometry; values from VASP
! E_tot = -12.06 eV per atom
! calculated density = 2.35 Mg/m³
! uncorrected formation energy = -0.11 eV per atom
! energy above the lowest structure with this stoichiometry = 0 meV per atom
&SYSTEM
  ibrav = 0, nat = 4, ntyp = 3
/
ATOMIC_SPECIES
Si 28.09 Si.upf
Br 79.90 Br.upf
K 39.10 K.upf
ATOMIC_POSITIONS angstrom
Si 1.928 1.714 3.583
Si 0.000 0.967 2.643
Br 0.000 0.000 0.000
K 1.928 2.581 0.017
CELL_PARAMETERS angstrom
3.856 0.000 0.000
0.000 5.162 0.033
-1.928 -2.482 6.192

! CoTeHI2 meta-GGA SCAN PBEsol geometry; values from VASP
! E_tot = -25.62 eV per atom
! calculated density = 5.37 Mg/m³
&SYSTEM
  ibrav = 0, nat = 5, ntyp = 4
/
ATOMIC_SPECIES
Co 58.93 Co.upf
I 126.90 I.upf
H 1.01 H.upf
Te 127.60 Te.upf
ATOMIC_POSITIONS angstrom
Co 0.000 0.000 0.000
I 0.000 2.704 0.000
I 0.000 0.000 2.704
H 2.335 2.704 2.704
Te 2.335 0.000 0.000
CELL_PARAMETERS angstrom
4.671 0.000 0.000
0.000 5.407 0.000
0.000 0.000 5.407

! HfTaTc2 meta-GGA SCAN PBEsol geometry; values from VASP
! E_tot = -50.46 eV per atom
! calculated density = 14.32 Mg/m³
! formation energy from the elements = -0.615 eV/atom
&SYSTEM
  ibrav = 0, nat = 4, ntyp = 3
/
ATOMIC_SPECIES
Tc 98.00 Tc.upf
Ta 180.95 Ta.upf
Hf 178.49 Hf.upf
ATOMIC_POSITIONS angstrom
Tc 2.249 1.299 0.918
Tc 6.748 3.896 2.755
Ta 4.499 2.597 1.837
Hf 0.000 0.000 0.000
CELL_PARAMETERS angstrom
4.499 0.000 0.000
2.249 3.896 0.000
2.249 1.299 3.673

! Na2LiTe2 meta-GGA SCAN PBEsol geometry; values from VASP
! E_tot = -17.81 eV per atom
! calculated density = 3.79 Mg/m³
! uncorrected formation energy = -0.74 eV per atom
&SYSTEM
  ibrav = 0, nat = 10, ntyp = 3
/
ATOMIC_SPECIES
Li 6.94 Li.upf
Na 22.99 Na.upf
Te 127.60 Te.upf
ATOMIC_POSITIONS angstrom
Li 0.000 0.000 0.000
Li 3.424 2.688 4.459
Na 1.825 2.679 1.338
Na 5.023 2.697 7.580
Na 2.320 -0.591 5.034
Na 4.528 5.967 3.884
Te 3.753 5.380 6.939
Te 0.204 1.229 3.457
Te 1.714 5.508 2.840
Te 2.244 1.100 7.555
CELL_PARAMETERS angstrom
-2.891 1.232 1.477
2.985 -2.481 7.912
3.863 7.857 1.006

! ZnIn2Cl meta-GGA SCAN PBEsol geometry; values from VASP
! E_tot = -22.35 eV per atom
! calculated density = 6.05 Mg/m³
! uncorrected formation energy = -0.29 eV per atom
! energy above the lowest structure with this stoichiometry = 0 meV per atom
&SYSTEM
  ibrav = 0, nat = 4, ntyp = 3
/
ATOMIC_SPECIES
In 114.82 In.upf
Cl 35.45 Cl.upf
Zn 65.41 Zn.upf
ATOMIC_POSITIONS angstrom
In 1.221 2.483 2.815
In 2.837 0.000 0.000
Cl 2.840 0.000 2.815
Zn 1.212 2.483 0.000
CELL_PARAMETERS angstrom
3.244 0.000 0.000
0.000 4.967 0.000
0.000 0.000 5.629

! YGePd meta-GGA SCAN PBEsol geometry; values from VASP
! E_tot = -27.72 eV per atom
! calculated density = 7.87 Mg/m³
! formation energy from the elements = -1.151 eV/atom
&SYSTEM
  ibrav = 0, nat = 18, ntyp = 3
/
ATOMIC_SPECIES
Pd 106.42 Pd.upf
Ge 72.64 Ge.upf
Y 88.91 Y.upf
ATOMIC_POSITIONS angstrom
Pd 1.626 2.745 6.547
Pd 5.756 3.412 5.783
Pd -0.152 2.290 2.751
Pd 4.334 0.879 3.607
Pd -0.878 0.118 6.535
Pd 8.418 1.536 2.790
Ge 0.667 0.179 1.636
Ge 3.339 2.957 4.645
Ge 8.743 3.747 1.618
Ge -0.819 2.277 5.206
Ge 6.858 1.354 4.792
Ge 4.831 0.861 1.088
Y -1.801 -0.158 3.602
Y 4.275 0.995 6.704
Y -3.556 1.859 6.304
Y 1.521 0.445 4.618
Y 2.556 2.705 1.708
Y 5.857 3.304 2.699
CELL_PARAMETERS angstrom
-0.723 4.278 -0.174
-3.363 -0.295 6.729
11.166 -0.261 1.359

! Ta2CdOs meta-GGA SCAN PBEsol geometry; values from VASP
! E_tot = -58.79 eV per atom
! calculated density = 15.87 Mg/m³
! formation energy from the elements = 0.071 eV/atom
&SYSTEM
  ibrav = 0, nat = 4, ntyp = 3
/
ATOMIC_SPECIES
Os 190.23 Os.upf
Cd 112.41 Cd.upf
Ta 180.95 Ta.upf
ATOMIC_POSITIONS angstrom
Os 1.567 1.567 5.489
Cd 0.000 0.000 3.640
Ta 0.000 0.000 6.872
Ta 1.567 1.567 1.690
CELL_PARAMETERS angstrom
3.134 0.000 0.000
0.000 3.134 0.000
0.000 0.000 7.077

! YH2O meta-GGA SCAN PBEsol geometry; values from VASP
! E_tot = -11.57 eV per atom
! calculated density = 4.04 Mg/m³
&SYSTEM
  ibrav = 0, nat = 8, ntyp = 3
/
ATOMIC_SPECIES
Y 88.91 Y.upf
O 16.00 O.upf
H 1.01 H.upf
ATOMIC_POSITIONS angstrom
Y 0.000 0.000 0.000
Y 0.000 1.593 4.335
O 1.593 1.593 0.000
O 1.593 0.000 4.335
H 0.796 1.593 6.503
H 0.000 0.796 2.168
H -0.796 1.593 6.503
H 0.000 2.389 2.168
CELL_PARAMETERS angstrom
3.185 0.000 0.000
0.000 3.185 0.000
-1.593 -1.593 8.670

! CrAs2 meta-GGA SCAN PBEsol geometry; values from VASP
! E_tot = -19.73 eV per atom
! calculated density = 7.56 Mg/m³
! formation energy from the elements = -0.145 eV/atom
&SYSTEM
  ibrav = 0, nat = 6, ntyp = 2
/
ATOMIC_SPECIES
As 74.92 As.upf
Cr 52.00 Cr.upf
ATOMIC_POSITIONS angstrom
As 3.171 3.815 2.500
As 3.171 3.970 6.119
As 3.171 1.185 0.236
As 3.171 1.339 3.855
Cr 1.586 1.959 1.909
Cr 4.757 3.196 4.447
CELL_PARAMETERS angstrom
3.171 0.000 0.000
1.586 4.401 0.001
1.586 0.754 6.354

! TcGeC2S meta-GGA SCAN PBEsol geometry; values from VASP
! E_tot = -15.54 eV per atom
! calculated density = 5.01 Mg/m³
! uncorrected formation energy = 1.26 eV per atom
&SYSTEM
  ibrav = 0, nat = 5, ntyp = 4
/
ATOMIC_SPECIES
Ge 72.64 Ge.upf
Tc 98.00 Tc.upf
S 32.06 S.upf
C 12.01 C.upf
ATOMIC_POSITIONS angstrom
Ge 1.940 1.940 2.494
Tc 0.000 0.000 0.000
S 0.000 0.000 2.494
C 0.000 1.940 0.000
C 1.940 0.000 0.000
CELL_PARAMETERS angstrom
3.880 0.000 0.000
0.000 3.880 0.000
0.000 0.000 4.989

! ZnFeAg meta-GGA SCAN PBEsol geometry; values from VASP
! E_tot = -20.90 eV per atom
! calculated density = 9.24 Mg/m³
! formation energy from the elements = 0.106 eV/atom
! energy above the lowest structure with this stoichiometry = 0 meV per atom
&SYSTEM
  ibrav = 0, nat = 3, ntyp = 3
/
ATOMIC_SPECIES
Zn 65.41 Zn.upf
Ag 107.87 Ag.upf
Fe 55.84 Fe.upf
ATOMIC_POSITIONS angstrom
Zn -2.322 1.252 0.820
Ag -4.021 1.915 4.018
Fe -1.716 0.670 3.229
CELL_PARAMETERS angstrom
-0.451 2.534 -0.765
-2.337 -0.754 -1.086
-1.241 0.139 5.884

! La3Tl meta-GGA SCAN PBEsol geometry; values from VASP
! E_tot = -50.80 eV per atom
! calculated density = 8.49 Mg/m³
! formation energy from the elements = -0.377 eV/atom
! energy above the lowest structure with this stoichiometry = 9 meV per atom
&SYSTEM
  ibrav = 0, nat = 8, ntyp = 2
/
ATOMIC_SPECIES
La 138.91 La.upf
Tl 204.38 Tl.upf
ATOMIC_POSITIONS angstrom
La 2.451 0.000 5.056
La 0.000 0.000 2.558
La 0.000 2.451 5.056
La 2.451 0.000 0.000
La 0.000 2.451 0.000
La 2.451 2.451 7.554
Tl 0.000 0.000 7.596
Tl 2.451 2.451 2.516
CELL_PARAMETERS angstrom
4.901 0.000 0.000
0.000 4.901 0.000
-2.451 -2.451 10.112